[1]
Entry from Alexandria: a geometry-optimized Ho4BiN structure (GGA-PBE).

Results
DFT total energy = -5.83 eV per atom
Crystal system = monoclinic

The structure in CIF format:
```
data_Ho4BiN
_chemical_formula_sum 'Ho8 Bi2 N2'
_cell_length_a 5.8928
_cell_length_b 7.0993
_cell_length_c 7.9892
_cell_angle_alpha 105.30
_cell_angle_beta 111.63
_cell_angle_gamma 90.00
_space_group_name_H-M_alt 'P 1'
_space_group_IT_number 1
loop_
_space_group_symop_operation_xyz
'x,y,z'
loop_
_atom_site_label
_atom_site_fract_x
_atom_site_fract_y
_atom_site_fract_z
_atom_site_occupancy
Ho1 0.4637 0.0620 0.7889 1
Ho2 0.6750 0.4380 0.2110 1
Ho3 0.5363 0.9380 0.2111 1
Ho4 0.3250 0.5620 0.7890 1
Ho5 0.8572 0.8160 0.6077 1
Ho6 0.2496 0.6839 0.3924 1
Ho7 0.1428 0.1840 0.3923 1
Ho8 0.7504 0.3161 0.6076 1
Bi1 0.8982 0.7498 0.9999 1
Bi2 0.1018 0.2502 0.0001 1
N1 0.5000 0.0000 0.5000 1
N2 0.0000 0.5000 0.5000 1
```

=====

[2]
Entry from Alexandria: a geometry-optimized NaMg6Zn structure (GGA-PBE).

Results
E_form = 0.033 eV per atom
Crystal system = orthorhombic

The structure in CIF format:
```
data_NaMg6Zn
_chemical_formula_sum 'Na1 Mg6 Zn1'
_cell_length_a 6.3315
_cell_length_b 6.3315
_cell_length_c 5.2068
_cell_angle_alpha 90.00
_cell_angle_beta 90.00
_cell_angle_gamma 119.80
_space_group_name_H-M_alt 'P 1'
_space_group_IT_number 1
loop_
_space_group_symop_operation_xyz
'x,y,z'
loop_
_atom_site_label
_atom_site_fract_x
_atom_site_fract_y
_atom_site_fract_z
_atom_site_occupancy
Na1 0.3345 0.6655 0.5000 1
Mg1 0.8359 0.6674 0.5000 1
Mg2 0.3326 0.1641 0.5000 1
Mg3 0.6742 0.8455 0.0000 1
Mg4 0.1545 0.3258 0.0000 1
Mg5 0.6678 0.3322 0.0000 1
Mg6 0.1629 0.8371 0.0000 1
Zn1 0.8376 0.1624 0.5000 1
```